w | The following is a PBE calculation of a geometry-optimized FeOsPb2 structure, from Alexandria.

Lattice parameters (Å, degrees): 3.1755 3.1755 8.8977 90.00 90.00 115.82
Sites, in units of the cell vectors:
Pb 0.0000 0.0000 0.9995
Os 0.5000 0.5000 0.7500
Fe 0.5000 0.5000 0.2500
Pb 0.0000 0.0000 0.5005

## Properties
Volume in Å³ per atom: 20.2


x | The following is a PBE calculation of a geometry-optimized FeOsPb2 structure, from Alexandria.

Lattice parameters (Å, degrees): 8.8253 8.8253 8.8253 21.30 21.30 21.30
Sites, in units of the cell vectors:
Pb 0.4991 0.4991 0.4991
Pb 0.0009 0.0009 0.0009
Os 0.7500 0.7500 0.7500
Fe 0.2500 0.2500 0.2500

## Properties
Volume in Å³ per atom: 19.9


y | The following is a PBE calculation of a geometry-optimized FeOsPb2 structure, from Alexandria.

Lattice parameters (Å, degrees): 5.3869 5.3869 5.4501 70.61 70.61 33.91
Sites, in units of the cell vectors:
Pb 0.7767 0.7767 0.6894
Pb 0.9715 0.9715 0.0629
Fe 0.5463 0.5463 0.5214
Os 0.2055 0.2055 0.2263

## Properties
Volume in Å³ per atom: 20.7


z | The following is a PBE calculation of a geometry-optimized FeOsPb2 structure, from Alexandria.

Lattice parameters (Å, degrees): 3.1542 3.1542 8.7262 90.00 90.00 90.00
Sites, in units of the cell vectors:
Pb 0.5000 0.5000 0.3272
Pb 0.0000 0.0000 0.9291
Fe 0.0000 0.0000 0.5549
Os 0.5000 0.5000 0.6889

## Properties
Volume in Å³ per atom: 21.7


Which one sits at the top of the stability order? z does.